No. 1
The following is a PBE calculation of an optimized crystal structure of Dy3ErBi2, from Alexandria via LeMat-Bulk.

Results
excess energy over the best structure of this formula in the dataset: 0.0 meV/atom
raw total energy: -4.943 eV/atom
density of states at the Fermi level: 4.6 states/eV per cell
ΔH_f (0 K): -0.588 eV/atom

Cell lengths 4.5397, 4.5397, 8.5993 Å; angles 90.00, 90.00, 90.00 degrees
With the nearest neighbours (Å) after each atom.
Positions (direct):
Dy  0.0000  0.0000  0.0000  4 Er 3.21, 4 Bi 3.33
Dy  0.0000  0.5000  0.6545  5 Bi 3.19-3.25
Dy  0.5000  0.0000  0.3455  5 Bi 3.19-3.25
Er  0.5000  0.5000  0.0000  4 Dy 3.21, 4 Bi 3.33
Bi  0.0000  0.5000  0.2838  7 Dy 3.19-3.33, 2 Er 3.33
Bi  0.5000  0.0000  0.7162  7 Dy 3.19-3.33, 2 Er 3.33



No. 2
The following is a PBE calculation of an optimized crystal structure of PmHfZn4, from Alexandria via LeMat-Bulk.

Results
excess energy over the best structure of this formula in the dataset: 62.1 meV/atom
raw total energy: -3.490 eV/atom
density of states at the Fermi level: 5.0 states/eV per cell
ΔH_f (0 K): -0.190 eV/atom

Cell lengths 5.3770, 5.3770, 5.3770 Å; angles 60.00, 60.00, 60.00 degrees
With the nearest neighbours (Å) after each atom.
Positions (direct):
Pm  0.0000  0.0000  0.0000  12 Zn 3.16, 4 Hf 3.29
Hf  0.7500  0.7500  0.7500  12 Zn 3.15, 4 Pm 3.29
Zn  0.3761  0.3761  0.3761  6 Zn 2.67-2.71
Zn  0.3761  0.3761  0.8718  6 Zn 2.67-2.71
Zn  0.3761  0.8718  0.3761  6 Zn 2.67-2.71
Zn  0.8718  0.3761  0.3761  6 Zn 2.67-2.71



No. 3
The following is a PBE calculation of an optimized crystal structure of Na6CuO4, from Alexandria via LeMat-Bulk.

Results
excess energy over the best structure of this formula in the dataset: 0.0 meV/atom
raw total energy: -3.983 eV/atom
density of states at the Fermi level: 14.6 states/eV per cell
energy relative to the elements, uncorrected: -1088 meV/atom

Cell lengths 7.6929, 7.6929, 5.8844 Å; angles 90.11, 90.11, 121.16 degrees
With the nearest neighbours (Å) after each atom.
Positions (direct):
Na  0.0327  0.5713  0.4816  3 O 2.35-2.45
Na  0.0385  0.9615  0.5000  3 O 2.38-2.43
Na  0.2143  0.3594  0.3266  4 O 2.33-2.58
Na  0.3594  0.2143  0.8266  4 O 2.33-2.58
Na  0.3593  0.6402  0.8216  4 O 2.35-2.51
Na  0.4278  0.9672  0.4817  3 O 2.34-2.46
Na  0.5713  0.0327  0.9816  3 O 2.35-2.45
Na  0.6402  0.3593  0.3216  4 O 2.35-2.51
Na  0.6398  0.7849  0.3262  4 O 2.34-2.60
Na  0.7849  0.6398  0.8262  4 O 2.34-2.60
Na  0.9615  0.0385  0.0000  3 O 2.38-2.43
Na  0.9672  0.4278  0.9817  3 O 2.34-2.46
Cu  0.1640  0.8348  0.0967  4 O 1.98-2.07
Cu  0.8348  0.1640  0.5967  4 O 1.98-2.07
O  0.1243  0.3031  0.7151  1 Cu 2.03
O  0.1751  0.8264  0.7611  1 Cu 1.98
O  0.3031  0.1243  0.2151  1 Cu 2.03
O  0.3099  0.6883  0.2074  1 Cu 2.07
O  0.6883  0.3099  0.7074  1 Cu 2.07
O  0.6959  0.8753  0.7161  1 Cu 2.03
O  0.8264  0.1751  0.2611  1 Cu 1.98
O  0.8753  0.6959  0.2161  1 Cu 2.03



No. 4
The following is a PBE calculation of an optimized crystal structure of K2BaSb2Pb, from Alexandria via LeMat-Bulk.

Results
raw total energy: -3.258 eV/atom
density of states at the Fermi level: 0.1 states/eV per cell
energy relative to the elements, uncorrected: -579 meV/atom

Cell lengths 5.0258, 10.1353, 9.3991 Å; angles 90.00, 90.00, 90.00 degrees
With the nearest neighbours (Å) after each atom.
Positions (direct):
K  0.0000  0.0837  0.0000  5 Sb 3.70-4.01, 1 Pb 3.98, 4 K 4.06-4.08
K  0.0000  0.9163  0.5000  5 Sb 3.70-4.01, 1 Pb 3.98, 4 K 4.06-4.08
K  0.5000  0.1850  0.3243  4 Sb 3.52-3.74, 2 Pb 3.73
K  0.5000  0.8150  0.8243  4 Sb 3.52-3.74, 2 Pb 3.73
Ba  0.5000  0.4333  0.9204  5 Sb 3.45-3.68
Ba  0.5000  0.5667  0.4204  5 Sb 3.45-3.68
Sb  0.0000  0.4146  0.2059  1 Pb 3.09
Sb  0.0000  0.5854  0.7059  1 Pb 3.09
Sb  0.5000  0.1483  0.7199  2 Pb 3.19, 1 Ba 3.45, 1 K 3.52
Sb  0.5000  0.8517  0.2199  2 Pb 3.19, 1 Ba 3.45, 1 K 3.52
Pb  0.0000  0.3004  0.5903  3 Sb 3.09-3.19
Pb  0.0000  0.6996  0.0903  3 Sb 3.09-3.19



No. 5
The following is a PBE calculation of an optimized crystal structure of Mg2FeTc, from Alexandria via LeMat-Bulk.

Results
excess energy over the best structure of this formula in the dataset: 226.5 meV/atom
raw total energy: -5.181 eV/atom
density of states at the Fermi level: 6.8 states/eV per cell
ΔH_f (0 K): 0.323 eV/atom

Cell lengths 2.9852, 4.5369, 9.1795 Å; angles 90.00, 90.00, 90.00 degrees
With the nearest neighbours (Å) after each atom.
Positions (direct):
Mg  0.0000  0.0000  0.2398  2 Fe 2.66, 4 Mg 2.72, 2 Tc 2.82
Mg  0.0000  0.0000  0.7602  2 Fe 2.66, 4 Mg 2.72, 2 Tc 2.82
Mg  0.5000  0.5000  0.2602  2 Fe 2.66, 4 Mg 2.72, 2 Tc 2.82
Mg  0.5000  0.5000  0.7398  2 Fe 2.66, 4 Mg 2.72, 2 Tc 2.82
Fe  0.0000  0.5000  0.5000  4 Mg 2.66, 4 Tc 2.72
Fe  0.5000  0.0000  0.0000  4 Mg 2.66, 4 Tc 2.72
Tc  0.0000  0.5000  0.0000  4 Fe 2.72, 4 Mg 2.82, 2 Tc 2.99
Tc  0.5000  0.0000  0.5000  4 Fe 2.72, 4 Mg 2.82, 2 Tc 2.99



No. 6
The following is a PBE calculation of an optimized crystal structure of Cs3Sr3OsO8, from Alexandria via LeMat-Bulk.

Results
raw total energy: -5.731 eV/atom
density of states at the Fermi level: 6.1 states/eV per cell
energy relative to the elements, uncorrected: -1831 meV/atom

Cell lengths 8.0774, 8.0774, 8.0774 Å; angles 54.03, 54.03, 54.03 degrees
With the nearest neighbours (Å) after each atom.
Positions (direct):
Cs  0.0000  0.5000  0.5000  6 O 3.04-3.09
Cs  0.5000  0.0000  0.5000  6 O 3.04-3.09
Cs  0.5000  0.5000  0.0000  6 O 3.04-3.09
Sr  0.0000  0.0000  0.5000  6 O 2.43-2.65
Sr  0.0000  0.5000  0.0000  6 O 2.43-2.65
Sr  0.5000  0.0000  0.0000  6 O 2.43-2.65
Os  0.5000  0.5000  0.5000  6 O 1.94
O  0.2246  0.2246  0.2246  3 Sr 2.43
O  0.2995  0.6791  0.6791  1 Os 1.94
O  0.3209  0.3209  0.7005  1 Os 1.94
O  0.3209  0.7005  0.3209  1 Os 1.94
O  0.6791  0.2995  0.6791  1 Os 1.94
O  0.6791  0.6791  0.2995  1 Os 1.94
O  0.7005  0.3209  0.3209  1 Os 1.94
O  0.7754  0.7754  0.7754  3 Sr 2.43